# SrCeMg2Au4

A relaxed structure of SrCeMg2Au4 (PBE, Alexandria via LeMat-Bulk).

abc: 10.151 10.151 10.151
angles: 27.04 27.04 27.04
Sites, in units of the cell vectors:
Sr1 0.000 0.000 0.000
Ce1 0.500 0.500 0.500
Mg1 0.245 0.245 0.245
Mg2 0.755 0.755 0.755
Au1 0.114 0.114 0.114
Au2 0.396 0.396 0.396
Au3 0.604 0.604 0.604
Au4 0.886 0.886 0.886

Its crystal system is trigonal. The total energy comes out at -3.65 eV per atom.



# RePtW2

A relaxed structure of RePtW2 (PBE, Alexandria via LeMat-Bulk).

abc: 2.762 2.762 8.239
angles: 90.00 90.00 90.00
Sites, in units of the cell vectors:
Re1 0.000 0.000 0.000
Pt1 0.500 0.500 0.750
W1 0.000 0.000 0.502
W2 0.500 0.500 0.241

Its crystal system is tetragonal. The total energy comes out at -11.02 eV per atom.



# Tb8Te4As3Se

A relaxed structure of Tb8Te4As3Se (PBE, Alexandria via LeMat-Bulk).

abc: 8.609 8.609 8.609
angles: 58.52 58.52 58.52
Sites, in units of the cell vectors:
Tb1 0.234 0.742 0.742
Tb2 0.239 0.239 0.239
Tb3 0.258 0.258 0.766
Tb4 0.258 0.766 0.258
Tb5 0.742 0.234 0.742
Tb6 0.742 0.742 0.234
Tb7 0.761 0.761 0.761
Tb8 0.766 0.258 0.258
Te1 0.000 0.000 0.000
Te2 0.000 0.500 0.500
Te3 0.500 0.000 0.500
Te4 0.500 0.500 0.000
As1 0.000 0.000 0.500
As2 0.000 0.500 0.000
As3 0.500 0.000 0.000
Se1 0.500 0.500 0.500

The calculation puts the energy relative to the elements, uncorrected at -1528 meV per atom. Its crystal system is trigonal.



# Cu2AsIr

A relaxed structure of Cu2AsIr (PBE, Alexandria via LeMat-Bulk).

abc: 3.667 3.726 4.019
angles: 90.00 90.00 90.00
Sites, in units of the cell vectors:
Cu1 0.000 0.000 0.000
Cu2 0.500 0.500 0.000
As1 0.000 0.500 0.500
Ir1 0.500 0.000 0.500

Its crystal system is orthorhombic. The total energy comes out at -5.28 eV per atom.



# Fe2ReIr

A relaxed structure of Fe2ReIr (PBE, Alexandria via LeMat-Bulk).

abc: 8.504 8.504 8.504
angles: 18.50 18.50 18.50
Sites, in units of the cell vectors:
Fe1 0.000 0.000 0.000
Fe2 0.258 0.258 0.258
Re1 0.751 0.751 0.751
Ir1 0.506 0.506 0.506

Its crystal system is trigonal. The total energy comes out at -9.48 eV per atom.



# BaO3

A relaxed structure of BaO3 (PBE, Alexandria via LeMat-Bulk).

abc: 4.045 5.129 6.396
angles: 90.00 90.00 90.00
Sites, in units of the cell vectors:
Ba1 0.000 0.222 0.000
Ba2 0.000 0.778 0.500
O1 0.000 0.288 0.595
O2 0.000 0.712 0.095
O3 0.500 0.130 0.322
O4 0.500 0.300 0.486
O5 0.500 0.700 0.986
O6 0.500 0.870 0.822

The calculation puts the energy relative to the elements, uncorrected at -1090 meV per atom. Its crystal system is orthorhombic.



# ZrTl2Se2O6

A relaxed structure of ZrTl2Se2O6 (PBE, Alexandria via LeMat-Bulk).

abc: 5.845 5.845 6.325
angles: 109.44 109.44 70.37
Sites, in units of the cell vectors:
Zr1 0.000 0.000 0.000
Tl1 0.201 0.201 0.634
Tl2 0.799 0.799 0.366
Se1 0.440 0.440 0.243
Se2 0.560 0.560 0.757
O1 0.177 0.757 0.223
O2 0.243 0.823 0.777
O3 0.248 0.248 0.206
O4 0.752 0.752 0.794
O5 0.757 0.177 0.223
O6 0.823 0.243 0.777

The calculation puts the energy relative to the elements, uncorrected at -1245 meV per atom. Its crystal system is monoclinic.



# CuAg2Bi

A relaxed structure of CuAg2Bi (PBE, Alexandria via LeMat-Bulk).

abc: 4.200 4.200 4.456
angles: 90.00 90.00 90.00
Sites, in units of the cell vectors:
Cu1 0.000 0.000 0.000
Ag1 0.000 0.500 0.500
Ag2 0.500 0.000 0.500
Bi1 0.500 0.500 0.000

Its crystal system is tetragonal. The total energy comes out at -3.25 eV per atom.



no.,calculated volume (Å³ per cell)
1,190.7
2,62.9
3,435.9
4,54.9
5,54.1
6,132.7
7,185.9
8,78.6